Entry 1:
# NdSm3Tm5

NdSm3Tm5 after structural relaxation (GGA-PBE, Alexandria).

Summary:
Its distance to the lowest polymorph of the same formula is 189 meV per atom. As for the space group: C2/m. Its formation energy is 0.519 eV per atom. Its density of states at the Fermi level is 23.65 states/eV/cell.

Cell and atoms, written as POSCAR:
```
NdSm3Tm5
1.0
7.647 -5.606 0.000
7.647 5.606 0.000
-6.519 0.000 7.572
Nd Sm Tm
2 6 10
Direct
0.247 0.247 0.091
0.753 0.753 0.909
0.000 0.000 0.000
0.025 0.025 0.684
0.491 0.491 0.789
0.500 0.500 0.500
0.509 0.509 0.211
0.975 0.975 0.316
0.094 0.597 0.445
0.224 0.224 0.410
0.261 0.739 0.000
0.285 0.285 0.792
0.403 0.906 0.555
0.597 0.094 0.445
0.715 0.715 0.208
0.739 0.261 0.000
0.776 0.776 0.590
0.906 0.403 0.555
```

---

Entry 2:
# Tb2Hg3Rh2

Tb2Hg3Rh2 after structural relaxation (GGA-PBE, Alexandria).

Summary:
Its distance to the lowest polymorph of the same formula is 32 meV per atom. As for the space group: C2/m. Its formation energy is -0.474 eV per atom. Its density of states at the Fermi level is 4.01 states/eV/cell.

Cell and atoms, written as POSCAR:
```
Tb2Hg3Rh2
1.0
5.148 -2.064 0.000
5.148 2.064 0.000
-0.896 0.000 7.347
Tb Hg Rh
2 3 2
Direct
0.121 0.121 0.362
0.879 0.879 0.638
0.204 0.204 0.855
0.500 0.500 0.000
0.796 0.796 0.145
0.410 0.410 0.358
0.590 0.590 0.642
```

---

Entry 3:
# HfPPtO2

HfPPtO2 after structural relaxation (GGA-PBE, Alexandria).

Summary:
Its distance to the lowest polymorph of the same formula is 0 meV per atom. As for the space group: P4/mmm. The value obtained for the raw formation energy is -1.061 eV/atom. Its density of states at the Fermi level is 4.82 states/eV/cell.

Cell and atoms, written as POSCAR:
```
HfPPtO2
1.0
3.906 0.000 0.000
0.000 3.906 0.000
0.000 0.000 5.701
Hf P Pt O
1 1 1 2
Direct
0.000 0.000 0.000
0.000 0.000 0.500
0.500 0.500 0.500
0.000 0.500 0.000
0.500 0.000 0.000
```

---

Entry 4:
# Na3HoPa2Te6

Na3HoPa2Te6 after structural relaxation (GGA-PBE, Alexandria).

Summary:
As for the space group: C2/m. The value obtained for the raw formation energy is -0.988 eV/atom. Its density of states at the Fermi level is 11.54 states/eV/cell.

Cell and atoms, written as POSCAR:
```
Na3HoPa2Te6
1.0
3.767 -6.527 0.000
3.767 6.527 0.000
-2.511 0.000 7.760
Na Ho Pa Te
3 1 2 6
Direct
0.000 0.000 0.000
0.333 0.667 0.000
0.667 0.333 0.000
0.500 0.500 0.500
0.167 0.833 0.500
0.833 0.167 0.500
0.091 0.421 0.262
0.249 0.249 0.737
0.421 0.091 0.262
0.579 0.909 0.738
0.751 0.751 0.263
0.909 0.579 0.738
```

---

Entry 5:
# KBa2Y

KBa2Y after structural relaxation (GGA-PBE, Alexandria).

Summary:
Its distance to the lowest polymorph of the same formula is 149 meV per atom. As for the space group: Immm. Its formation energy is 0.352 eV per atom. Its density of states at the Fermi level is 6.30 states/eV/cell.

Cell and atoms, written as POSCAR:
```
KBa2Y
1.0
-2.261 3.485 6.613
2.261 -3.485 6.613
2.261 3.485 -6.613
K Ba Y
1 2 1
Direct
0.000 0.000 0.000
0.259 0.759 0.500
0.741 0.241 0.500
0.500 0.500 0.000
```

---

Entry 6:
# Pr4Sn3Ru

Pr4Sn3Ru after structural relaxation (GGA-PBE, Alexandria).

Summary:
As for the space group: Pmm2. Its formation energy is -0.573 eV per atom. Its density of states at the Fermi level is 7.47 states/eV/cell.

Cell and atoms, written as POSCAR:
```
Pr4Sn3Ru
1.0
4.430 0.000 0.000
0.000 4.593 0.000
0.000 0.000 11.398
Pr Sn Ru
4 3 1
Direct
0.000 0.000 0.000
0.000 0.500 0.454
0.500 0.000 0.691
0.500 0.500 0.199
0.000 0.500 0.742
0.500 0.000 0.402
0.500 0.500 0.918
0.000 0.000 0.250
```

---

Entry 7:
# K2NbH

K2NbH after structural relaxation (GGA-PBE, Alexandria).

Summary:
Its distance to the lowest polymorph of the same formula is 231 meV per atom. As for the space group: Fm-3m. Its density of states at the Fermi level is 3.20 states/eV/cell.

Cell and atoms, written as POSCAR:
```
K2NbH
1.0
0.000 4.089 4.089
4.089 0.000 4.089
4.089 4.089 0.000
K Nb H
2 1 1
Direct
0.250 0.250 0.250
0.750 0.750 0.750
0.000 0.000 0.000
0.500 0.500 0.500
```

---

Entry 8:
# EuHgSbPb

EuHgSbPb after structural relaxation (GGA-PBE, Alexandria).

Summary:
As for the space group: F-43m. The value obtained for the raw formation energy is -0.424 eV/atom. Its density of states at the Fermi level is 2.09 states/eV/cell.

Cell and atoms, written as POSCAR:
```
EuHgSbPb
1.0
0.000 3.898 3.898
3.898 0.000 3.898
3.898 3.898 0.000
Eu Hg Sb Pb
1 1 1 1
Direct
0.000 0.000 0.000
0.750 0.750 0.750
0.250 0.250 0.250
0.500 0.500 0.500
```

---

Entry 9:
# TcRu3Se

TcRu3Se after structural relaxation (GGA-PBE, Alexandria).

Summary:
Its distance to the lowest polymorph of the same formula is 363 meV per atom. As for the space group: Pm-3m. The value obtained for the raw formation energy is 1.690 eV/atom. Its density of states at the Fermi level is 9.06 states/eV/cell.

Cell and atoms, written as POSCAR:
```
TcRu3Se
1.0
4.656 0.000 0.000
0.000 4.656 0.000
0.000 0.000 4.656
Tc Ru Se
1 3 1
Direct
0.000 0.000 0.000
0.000 0.000 0.500
0.000 0.500 0.000
0.500 0.000 0.000
0.500 0.500 0.500
```

---

Entry 10:
# NiRu2Pt

NiRu2Pt after structural relaxation (GGA-PBE, Alexandria).

Summary:
Its distance to the lowest polymorph of the same formula is 8 meV per atom. As for the space group: Pmm2. Its formation energy is 0.010 eV per atom. Its density of states at the Fermi level is 4.17 states/eV/cell.

Cell and atoms, written as POSCAR:
```
NiRu2Pt
1.0
2.712 0.000 0.000
0.000 3.744 0.000
0.000 0.000 5.395
Ni Ru Pt
1 2 1
Direct
0.000 0.000 0.000
0.000 0.000 0.522
0.500 0.500 0.754
0.500 0.500 0.245
```

---

Entry 11:
# AlCrRu2

AlCrRu2 after structural relaxation (GGA-PBE, Alexandria).

Summary:
As for the space group: R3m. Its formation energy is 0.016 eV per atom. Its density of states at the Fermi level is 4.16 states/eV/cell.

Cell and atoms, written as POSCAR:
```
AlCrRu2
1.0
1.358 0.784 8.523
-1.358 0.784 8.523
0.000 -1.568 8.523
Al Cr Ru
1 1 2
Direct
0.000 0.000 0.000
0.250 0.250 0.250
0.506 0.506 0.506
0.750 0.750 0.750
```

---

Entry 12:
# La4Tb8Dy

La4Tb8Dy after structural relaxation (GGA-PBE, Alexandria).

Summary:
As for the space group: R-3m. Its formation energy is 0.531 eV per atom. Its density of states at the Fermi level is 24.23 states/eV/cell.

Cell and atoms, written as POSCAR:
```
La4Tb8Dy
1.0
5.547 3.202 4.504
-5.547 3.202 4.504
0.000 -6.405 4.504
La Tb Dy
4 8 1
Direct
0.000 0.000 0.000
0.000 0.500 0.500
0.500 0.000 0.500
0.500 0.500 0.000
0.238 0.238 0.759
0.238 0.759 0.238
0.239 0.239 0.239
0.241 0.762 0.762
0.759 0.238 0.238
0.761 0.761 0.761
0.762 0.241 0.762
0.762 0.762 0.241
0.500 0.500 0.500
```

---

Number 1: total moment 0.00 μB/atom. Number 2: total moment 0.00 μB/atom. Number 3: total moment 0.23 μB/atom. Number 4: total moment 0.32 μB/atom. Number 5: total moment 0.00 μB/atom. Number 6: total moment 0.00 μB/atom. Number 7: total moment 1.42 μB/atom. Number 8: total moment 1.76 μB/atom. Number 9: total moment 0.39 μB/atom. Number 10: total moment 0.00 μB/atom. Number 11: total moment 0.00 μB/atom. Number 12: total moment 0.28 μB/atom.